Cu2NiMoPb | PBE | relaxed

The structure in CIF format:
```
data_Cu2NiMoPb
_chemical_formula_sum 'Cu2 Ni1 Mo1 Pb1'
_space_group_name_H-M_alt 'P 4/m m m'
_space_group_IT_number 123
_space_group_name_Hall '-P 4 2'
_cell_length_a 4.781
_cell_length_b 4.781
_cell_length_c 5.308
_cell_angle_alpha 90.00
_cell_angle_beta 90.00
_cell_angle_gamma 90.00
loop_
_atom_site_label
_atom_site_type_symbol
_atom_site_fract_x
_atom_site_fract_y
_atom_site_fract_z
Cu1 Cu 0.000 0.500 0.000
Ni1 Ni 0.000 0.000 0.500
Mo1 Mo 0.500 0.500 0.500
Pb1 Pb 0.500 0.500 0.000
```

Formation enthalpy at 0 K: 1.865 eV per atom
Size of the total moment: 3.46 Bohr magnetons per cell
Electronic total energy: -3.838 eV per atom